Tl2TcAs2: relaxed, PBE.

a = 6.456 Å, b = 6.456 Å, c = 5.539 Å
α = 90.00°, β = 90.00°, γ = 90.00°
Element x y z (fractional)
Tl1 0.189 0.311 0.000
Tl2 0.311 0.811 0.000
Tl3 0.689 0.189 0.000
Tl4 0.811 0.689 0.000
Tc1 0.000 0.000 0.500
Tc2 0.500 0.500 0.500
As1 0.145 0.645 0.500
As2 0.355 0.145 0.500
As3 0.645 0.855 0.500
As4 0.855 0.355 0.500

Formation energy from the elements ... 86 kJ/mol of formula units
Space-group type ... P4/mbm (127)
Density of states at the Fermi level ... 2.07 states/eV/f.u.
Energy above the lowest structure with this stoichiometry ... 0 meV/atom

***

Tl4TcAs: relaxed, PBE.

a = 6.184 Å, b = 6.184 Å, c = 6.184 Å
α = 60.00°, β = 60.00°, γ = 60.00°
Element x y z (fractional)
Tl1 0.125 0.125 0.125
Tl2 0.125 0.125 0.625
Tl3 0.125 0.625 0.125
Tl4 0.625 0.125 0.125
Tc1 0.500 0.500 0.500
As1 0.750 0.750 0.750

Formation energy from the elements ... 553 kJ/mol of formula units
Space-group type ... F-43m (216)
Density of states at the Fermi level ... 5.02 states/eV/f.u.

***

Tl3TcAs: relaxed, PBE.

a = 5.353 Å, b = 5.353 Å, c = 5.353 Å
α = 90.00°, β = 90.00°, γ = 90.00°
Element x y z (fractional)
Tl1 0.000 0.000 0.500
Tl2 0.000 0.500 0.000
Tl3 0.500 0.000 0.000
Tc1 0.000 0.000 0.000
As1 0.500 0.500 0.500

Formation energy from the elements ... 364 kJ/mol of formula units
Space-group type ... Pm-3m (221)
Density of states at the Fermi level ... 2.91 states/eV/f.u.
Energy above the lowest structure with this stoichiometry ... 0 meV/atom

***

Number 1: final energy -47.02 eV per cell. Number 2: final energy -18.75 eV per cell. Number 3: final energy -18.34 eV per cell.